Record 1
Computed, not measured: crystalline Ta2Ag at its relaxed geometry at the PBE level of DFT.

Cell: 6.3230 6.3230 6.3230 Å, 90.00 90.00 90.00°
Last column: nearest neighbours and their distance in Å.
Positions (direct):
Ag1 0.0000 0.0000 0.0000  6 Ta 2.62
Ag2 0.0000 0.5000 0.5000  6 Ta 2.62
Ag3 0.5000 0.0000 0.5000  6 Ta 2.62
Ag4 0.5000 0.5000 0.0000  6 Ta 2.62
Ta1 0.1233 0.6233 0.8767  3 Ag 2.62, 1 Ta 2.70
Ta2 0.1233 0.8767 0.3767  3 Ag 2.62, 1 Ta 2.70
Ta3 0.3767 0.1233 0.8767  3 Ag 2.62, 1 Ta 2.70
Ta4 0.3767 0.3767 0.3767  3 Ag 2.62, 1 Ta 2.70
Ta5 0.6233 0.6233 0.6233  3 Ag 2.62, 1 Ta 2.70
Ta6 0.6233 0.8767 0.1233  3 Ag 2.62, 1 Ta 2.70
Ta7 0.8767 0.1233 0.6233  3 Ag 2.62, 1 Ta 2.70
Ta8 0.8767 0.3767 0.1233  3 Ag 2.62, 1 Ta 2.70

---

Record 2
Computed, not measured: crystalline TaAg at its relaxed geometry at the PBE level of DFT.

Cell: 4.2226 4.2226 5.2616 Å, 90.00 90.00 120.00°
Last column: nearest neighbours and their distance in Å.
Positions (direct):
Ag1 0.0000 0.0000 0.0000  2 Ag 2.63, 6 Ta 2.77
Ag2 0.0000 0.0000 0.5000  2 Ag 2.63, 6 Ta 2.77
Ta1 0.3333 0.6667 0.2500  6 Ag 2.77
Ta2 0.6667 0.3333 0.7500  6 Ag 2.77

---

Record 3
Computed, not measured: crystalline Ta2Ag at its relaxed geometry at the PBE level of DFT.

Cell: 5.2979 5.2979 5.2979 Å, 103.41 103.41 122.42°
Last column: nearest neighbours and their distance in Å.
Positions (direct):
Ta1 0.1477 0.3523 0.5000  1 Ta 2.74, 4 Ag 2.81
Ta2 0.3523 0.8523 0.2045  1 Ta 2.74, 4 Ag 2.81
Ta3 0.6477 0.1477 0.7955  1 Ta 2.74, 4 Ag 2.81
Ta4 0.8523 0.6477 0.5000  1 Ta 2.74, 4 Ag 2.81
Ag1 0.7500 0.7500 0.0000  2 Ag 2.55, 8 Ta 2.81
Ag2 0.2500 0.2500 0.0000  2 Ag 2.55, 8 Ta 2.81

---

Record 4
Computed, not measured: crystalline TaAg2 at its relaxed geometry at the PBE level of DFT.

Cell: 5.4431 5.4431 5.4431 Å, 102.59 102.59 124.33°
Last column: nearest neighbours and their distance in Å.
Positions (direct):
Ta1 0.7500 0.7500 0.0000  2 Ta 2.54
Ta2 0.2500 0.2500 0.0000  2 Ta 2.54
Ag1 0.1453 0.3547 0.5000  1 Ag 2.80, 4 Ta 2.90
Ag2 0.3547 0.8547 0.2094  1 Ag 2.80, 4 Ta 2.90
Ag3 0.6453 0.1453 0.7906  1 Ag 2.80, 4 Ta 2.90
Ag4 0.8547 0.6453 0.5000  1 Ag 2.80, 4 Ta 2.90

---

Record 5
Computed, not measured: crystalline Ta8Ag at its relaxed geometry at the PBE level of DFT.

Cell: 7.1168 7.1168 7.1168 Å, 93.35 93.35 152.01°
Last column: nearest neighbours and their distance in Å.
Positions (direct):
Ta1 0.3317 0.0000 0.3317  8 Ta 2.87-2.89
Ta2 0.6683 0.0000 0.6683  8 Ta 2.87-2.89
Ta3 0.0000 0.6683 0.6683  8 Ta 2.87-2.89
Ta4 0.3301 0.6699 0.0000  6 Ta 2.80-2.87, 2 Ag 2.91
Ta5 0.6699 0.6699 0.3397  6 Ta 2.80-2.87, 2 Ag 2.91
Ta6 0.0000 0.3317 0.3317  8 Ta 2.87-2.89
Ta7 0.3301 0.3301 0.6603  6 Ta 2.80-2.87, 2 Ag 2.91
Ta8 0.6699 0.3301 0.0000  6 Ta 2.80-2.87, 2 Ag 2.91
Ag1 0.0000 0.0000 0.0000  12 Ta 2.91-3.24

---

Record 6
Computed, not measured: crystalline TaAg5 at its relaxed geometry at the PBE level of DFT.

Cell: 5.8173 5.8173 7.0060 Å, 74.91 74.91 28.03°
Last column: nearest neighbours and their distance in Å.
Positions (direct):
Ta1 0.2774 0.2774 0.9478  2 Ta 2.82, 10 Ag 2.90-3.05
Ag1 0.0005 0.0005 0.9979  9 Ag 2.82-2.95, 3 Ta 2.99-3.05
Ag2 0.6101 0.6101 0.2787  10 Ag 2.82-3.05, 2 Ta 2.93
Ag3 0.3329 0.3329 0.3288  11 Ag 2.82-3.05, 1 Ta 2.90
Ag4 0.9435 0.9435 0.6134  10 Ag 2.82-3.02, 2 Ta 2.94
Ag5 0.6689 0.6689 0.6668  10 Ag 2.82-3.02, 2 Ta 2.94

---

Record 7
Computed, not measured: crystalline Ta3Ag at its relaxed geometry at the PBE level of DFT.

Cell: 4.8948 5.1278 5.8216 Å, 90.00 90.00 90.00°
Last column: nearest neighbours and their distance in Å.
Positions (direct):
Ta1 0.5000 0.6779 0.0000  8 Ta 2.84-3.05, 4 Ag 2.91-2.99
Ta2 0.0000 0.8456 0.2501  8 Ta 2.84-3.05, 4 Ag 2.94-3.01
Ta3 0.5000 0.1544 0.2499  8 Ta 2.84-3.05, 4 Ag 2.94-3.01
Ta4 0.0000 0.3221 0.5000  8 Ta 2.84-3.05, 4 Ag 2.91-2.99
Ta5 0.0000 0.8456 0.7499  8 Ta 2.84-3.05, 4 Ag 2.94-3.01
Ta6 0.5000 0.1544 0.7501  8 Ta 2.84-3.05, 4 Ag 2.94-3.01
Ag1 0.0000 0.3445 0.0000  12 Ta 2.91-3.01
Ag2 0.5000 0.6555 0.5000  12 Ta 2.91-3.01

---

Record 8
Computed, not measured: crystalline Ta2Ag at its relaxed geometry at the PBE level of DFT.

Cell: 4.7000 4.7000 5.6504 Å, 90.00 90.00 120.00°
Last column: nearest neighbours and their distance in Å.
Positions (direct):
Ta1 0.0000 0.0000 0.0000  8 Ta 2.83-3.06, 6 Ag 3.06
Ta2 0.0000 0.0000 0.5000  8 Ta 2.83-3.06, 6 Ag 3.06
Ta3 0.3333 0.6667 0.7500  5 Ag 2.71-2.83
Ta4 0.6667 0.3333 0.2500  5 Ag 2.71-2.83
Ag1 0.3333 0.6667 0.2500  5 Ta 2.71-2.83
Ag2 0.6667 0.3333 0.7500  5 Ta 2.71-2.83

---

Record 9
Computed, not measured: crystalline TaAg at its relaxed geometry at the PBE level of DFT.

Cell: 9.6408 9.6408 2.9007 Å, 90.00 90.00 120.00°
Last column: nearest neighbours and their distance in Å.
Positions (direct):
Ta1 0.4308 0.8617 0.2500  6 Ta 2.73-2.90, 4 Ag 2.98
Ta2 0.5692 0.4308 0.7500  6 Ta 2.73-2.90, 4 Ag 2.98
Ta3 0.1383 0.5692 0.2500  6 Ta 2.73-2.90, 4 Ag 2.98
Ta4 0.5692 0.1383 0.7500  6 Ta 2.73-2.90, 4 Ag 2.98
Ta5 0.4308 0.5692 0.2500  6 Ta 2.73-2.90, 4 Ag 2.98
Ta6 0.8617 0.4308 0.7500  6 Ta 2.73-2.90, 4 Ag 2.98
Ag1 0.8468 0.6937 0.2500  6 Ag 2.90-2.94, 4 Ta 2.98
Ag2 0.1532 0.8468 0.7500  6 Ag 2.90-2.94, 4 Ta 2.98
Ag3 0.3063 0.1532 0.2500  6 Ag 2.90-2.94, 4 Ta 2.98
Ag4 0.1532 0.3063 0.7500  6 Ag 2.90-2.94, 4 Ta 2.98
Ag5 0.8468 0.1532 0.2500  6 Ag 2.90-2.94, 4 Ta 2.98
Ag6 0.6937 0.8468 0.7500  6 Ag 2.90-2.94, 4 Ta 2.98

---

Record 10
Computed, not measured: crystalline Ta4Ag at its relaxed geometry at the PBE level of DFT.

Cell: 5.4383 5.4383 5.4383 Å, 95.74 95.74 143.11°
Last column: nearest neighbours and their distance in Å.
Positions (direct):
Ta1 0.8083 0.5976 0.4059  7 Ta 2.81-3.14, 2 Ag 2.92
Ta2 0.1917 0.4024 0.5941  7 Ta 2.81-3.14, 2 Ag 2.92
Ta3 0.5976 0.1917 0.7893  7 Ta 2.81-3.14, 2 Ag 2.92
Ta4 0.4024 0.8083 0.2107  7 Ta 2.81-3.14, 2 Ag 2.92
Ag1 0.0000 0.0000 0.0000  12 Ta 2.92-3.25

---

Number 1: calculated volume 21.07 Å³ per atom, ΔE_f 1.423 eV/atom, DOS(E_F) 3.61 states/eV/f.u.. Number 2: calculated volume 20.31 Å³ per atom, ΔE_f 1.252 eV/atom, DOS(E_F) 1.24 states/eV/f.u.. Number 3: calculated volume 18.33 Å³ per atom, ΔE_f 0.522 eV/atom, DOS(E_F) 2.11 states/eV/f.u.. Number 4: calculated volume 19.63 Å³ per atom, ΔE_f 0.648 eV/atom, DOS(E_F) 2.81 states/eV/f.u.. Number 5: calculated volume 18.24 Å³ per atom, ΔE_f 0.080 eV/atom, DOS(E_F) 6.44 states/eV/f.u.. Number 6: calculated volume 17.89 Å³ per atom, ΔE_f 0.246 eV/atom, DOS(E_F) 2.68 states/eV/f.u.. Number 7: calculated volume 18.26 Å³ per atom, ΔE_f 0.326 eV/atom, DOS(E_F) 4.84 states/eV/f.u.. Number 8: calculated volume 18.02 Å³ per atom, ΔE_f 0.435 eV/atom, DOS(E_F) 2.92 states/eV/f.u.. Number 9: calculated volume 19.46 Å³ per atom, ΔE_f 0.416 eV/atom, DOS(E_F) 0.77 states/eV/f.u.. Number 10: calculated volume 18.32 Å³ per atom, ΔE_f 0.194 eV/atom, DOS(E_F) 3.86 states/eV/f.u..